1.
VASP calculation (GGA-PBE) on a relaxed Ni2PdCSe crystal.

```
Ni2PdCSe
1.0
-0.444 -0.316 3.803
3.831 -1.922 0.287
1.681 3.421 0.481
Ni Pd C Se
2 1 1 1
Cartesian
0.840 1.710 0.240
-0.222 -0.158 1.901
1.915 -0.961 0.143
0.000 0.000 0.000
2.534 0.591 2.285
```

Results
As for the total energy: -0.20712 hartree per atom.

2.
VASP calculation (GGA-PBE) on a relaxed NiMoIr2 crystal.

```
NiMoIr2
1.0
4.675 0.000 -0.006
3.883 2.603 -0.006
0.769 0.234 4.612
Mo Ni Ir
1 1 2
Cartesian
2.332 0.709 1.150
6.995 2.128 3.450
4.671 1.421 2.323
9.319 2.835 4.576
```

Results
For the formation energy, the calculation gives -0.119 eV per atom. The energy relative to the lowest polymorph listed for this composition comes out at 145 meV per atom.

3.
VASP calculation (GGA-PBE) on a relaxed Y4SnSb2 crystal.

```
Y4SnSb2
1.0
8.224 -1.189 -0.169
-1.779 8.117 0.169
-3.098 -3.580 6.825
Sb Y Sn
4 8 2
Cartesian
3.699 1.406 1.664
2.149 -0.384 5.076
2.809 5.464 1.748
-1.963 0.211 5.161
2.019 -1.043 2.077
3.941 -2.830 4.579
0.358 2.062 5.574
6.283 -0.219 2.014
4.455 1.482 4.642
1.114 3.030 1.314
5.378 3.854 1.250
-0.156 -2.250 5.511
-3.098 -3.579 6.825
-0.828 4.000 3.497
```

Results
As for the total energy: -0.22887 hartree per atom.

4.
VASP calculation (GGA-PBE) on a relaxed PmNd2HgO crystal.

```
PmNd2HgO
1.0
4.921 0.000 0.000
0.000 4.966 0.000
0.000 0.000 4.966
Pm Hg Nd O
1 1 2 1
Cartesian
2.460 0.000 0.000
2.460 2.483 2.483
0.000 0.000 2.483
0.000 2.483 0.000
0.000 0.000 0.000
```

Results
As for the total energy: -0.19297 hartree per atom.

Spin magnetization list, top to bottom, in μB/atom: 0.000 0.000 0.000 0.000